1.
The following is a DFT calculation (PBE-GGA) of Ta4Nb3Os after structural relaxation.

abc: 3.261 3.261 13.255
angles: 90.00 90.00 90.00
Fractional coordinates of all 8 atoms:
Ta  0.000  0.000  0.120
Ta  0.000  0.000  0.371
Ta  0.000  0.000  0.629
Ta  0.000  0.000  0.880
Nb  0.500  0.500  0.247
Nb  0.500  0.500  0.500
Nb  0.500  0.500  0.753
Os  0.500  0.500  0.000

Calculated values
ΔE to the lowest computed polymorph in eV/atom: 0.000
Size of the total moment in μB per formula unit: 0.00
Calculated formation energy in eV/atom: -0.14


2.
The following is a DFT calculation (PBE-GGA) of TaNbOs2 after structural relaxation.

abc: 5.751 5.751 5.751
angles: 151.53 129.54 58.95
Fractional coordinates of all 4 atoms:
Ta  0.000  0.000  0.000
Nb  0.500  0.500  0.000
Os  0.249  0.249  0.000
Os  0.751  0.751  0.000

Calculated values
Size of the total moment in μB per formula unit: 0.00
Calculated formation energy in eV/atom: 0.78


The density of states at the Fermi level results, record by record, are as follows: 6.9, 4.0 states/eV/f.u..